# 1
# PBE FeNiPb2, relaxed
# Offset from the most stable computed form: 0.90 kcal/mol of atoms
# Calculated total energy: -5.1109 eV/atom
# E_form: 0.304 eV per atom
# V: 89.15 Å³/f.u.
# Total moment: 8.98 μB/cell
# N(E_F): 0.9982 states/eV/atom
data_FeNiPb2
_cell_length_a 3.9894
_cell_length_b 3.9894
_cell_length_c 19.4040
_cell_angle_alpha 90.00
_cell_angle_beta 90.00
_cell_angle_gamma 120.00
_space_group_name_H-M_alt 'R 3 m'
_space_group_IT_number 160
_space_group_name_Hall 'R 3 -2"'
loop_
_atom_site_label
_atom_site_type_symbol
_atom_site_fract_x
_atom_site_fract_y
_atom_site_fract_z
Fe1 Fe 0.0000 0.0000 0.0000
Ni1 Ni 0.0000 0.0000 0.6834
Pb1 Pb 0.0000 0.0000 0.2452
Pb2 Pb 0.0000 0.0000 0.4345


# 2
# PBE FeNi4Pb, relaxed
# Calculated total energy: -5.6767 eV/atom
# E_form: 0.206 eV per atom
# V: 80.23 Å³/f.u.
# Total moment: 17.80 μB/cell
# N(E_F): 0.8436 states/eV/atom
data_FeNi4Pb
_cell_length_a 6.847
_cell_length_b 6.847
_cell_length_c 6.847
_cell_angle_alpha 90.00
_cell_angle_beta 90.00
_cell_angle_gamma 90.00
_space_group_name_H-M_alt 'F -4 3 m'
_space_group_IT_number 216
_space_group_name_Hall 'F -4 2 3'
loop_
_atom_site_label
_atom_site_type_symbol
_atom_site_fract_x
_atom_site_fract_y
_atom_site_fract_z
Fe1 Fe 0.000 0.000 0.000
Ni1 Ni 0.126 0.126 0.626
Pb1 Pb 0.250 0.250 0.250


# 3
# PBE FeNi2Pb2, relaxed
# Offset from the most stable computed form: 0.00 kcal/mol of atoms
# Calculated total energy: -4.9803 eV/atom
# E_form: 0.508 eV per atom
# V: 91.73 Å³/f.u.
# Total moment: 3.99 μB/cell
# N(E_F): 1.8867 states/eV/atom
data_FeNi2Pb2
_cell_length_a 3.363
_cell_length_b 3.363
_cell_length_c 16.220
_cell_angle_alpha 90.00
_cell_angle_beta 90.00
_cell_angle_gamma 90.00
_space_group_name_H-M_alt 'I 4/m m m'
_space_group_IT_number 139
_space_group_name_Hall '-I 4 2'
loop_
_atom_site_label
_atom_site_type_symbol
_atom_site_fract_x
_atom_site_fract_y
_atom_site_fract_z
Fe1 Fe 0.000 0.000 0.000
Ni1 Ni 0.000 0.500 0.250
Pb1 Pb 0.000 0.000 0.388


# 4
# PBE FeNiPb2, relaxed
# Offset from the most stable computed form: 3.52 kcal/mol of atoms
# Calculated total energy: -4.9973 eV/atom
# E_form: 0.418 eV per atom
# V: 83.85 Å³/f.u.
# Total moment: 6.34 μB/cell
# N(E_F): 0.8610 states/eV/atom
data_FeNiPb2
_cell_length_a 3.273
_cell_length_b 4.413
_cell_length_c 11.611
_cell_angle_alpha 90.00
_cell_angle_beta 90.00
_cell_angle_gamma 90.00
_space_group_name_H-M_alt 'I m m 2'
_space_group_IT_number 44
_space_group_name_Hall 'I 2 -2'
loop_
_atom_site_label
_atom_site_type_symbol
_atom_site_fract_x
_atom_site_fract_y
_atom_site_fract_z
Fe1 Fe 0.000 0.000 0.000
Ni1 Ni 0.000 0.500 0.349
Pb1 Pb 0.000 0.000 0.593
Pb2 Pb 0.000 0.500 0.819


# 5
# PBE FeNiPb, relaxed
# Offset from the most stable computed form: 1.35 kcal/mol of atoms
# Calculated total energy: -5.5734 eV/atom
# E_form: 0.411 eV per atom
# V: 50.47 Å³/f.u.
# Total moment: 6.73 μB/cell
# N(E_F): 0.7605 states/eV/atom
data_FeNiPb
_cell_length_a 3.176
_cell_length_b 3.176
_cell_length_c 10.009
_cell_angle_alpha 90.00
_cell_angle_beta 90.00
_cell_angle_gamma 90.00
_space_group_name_H-M_alt 'I 4 m m'
_space_group_IT_number 107
_space_group_name_Hall 'I 4 -2'
loop_
_atom_site_label
_atom_site_type_symbol
_atom_site_fract_x
_atom_site_fract_y
_atom_site_fract_z
Fe1 Fe 0.000 0.000 0.000
Ni1 Ni 0.000 0.000 0.605
Pb1 Pb 0.000 0.000 0.298


# 6
# PBE FeNiPb2, relaxed
# Offset from the most stable computed form: 0.68 kcal/mol of atoms
# Calculated total energy: -5.1205 eV/atom
# E_form: 0.295 eV per atom
# V: 78.03 Å³/f.u.
# Total moment: 2.59 μB/cell
# N(E_F): 0.8560 states/eV/atom
data_FeNiPb2
_cell_length_a 3.773
_cell_length_b 4.101
_cell_length_c 5.380
_cell_angle_alpha 90.00
_cell_angle_beta 110.41
_cell_angle_gamma 90.00
_space_group_name_H-M_alt 'P 1 m 1'
_space_group_IT_number 6
_space_group_name_Hall 'P -2y'
loop_
_atom_site_label
_atom_site_type_symbol
_atom_site_fract_x
_atom_site_fract_y
_atom_site_fract_z
Fe1 Fe 0.000 0.000 0.000
Ni1 Ni 0.133 0.500 0.267
Pb1 Pb 0.424 0.500 0.846
Pb2 Pb 0.712 0.000 0.427